Material: Y3Mg3Ag2
Method: DFT, GGA-PBE
State: relaxed

Cell lengths 7.878, 7.878, 3.825 Å; angles 90.00, 90.00, 120.00 degrees
Fractional positions:
Y: 0.000 0.416 0.000
Y: 0.416 0.000 0.000
Y: 0.584 0.584 0.000
Mg: 0.000 0.769 0.500
Mg: 0.231 0.231 0.500
Mg: 0.769 0.000 0.500
Ag: 0.333 0.667 0.500
Ag: 0.667 0.333 0.500

- Total DFT energy (no corrections): -3.92 eV per atom
- N(E_F): 0.881 states/eV/atom